# CoPdSO (PBE with a Hubbard U, optimized geometry)
data_CoPdSO
_chemical_formula_sum 'Co4 Pd4 S4 O4'
_cell_length_a 5.806
_cell_length_b 3.334
_cell_length_c 10.989
_cell_angle_alpha 90.00
_cell_angle_beta 90.00
_cell_angle_gamma 90.00
_space_group_name_H-M_alt 'P 1'
_space_group_IT_number 1
_space_group_name_Hall 'P 1'
loop_
_atom_site_label
_atom_site_fract_x
_atom_site_fract_y
_atom_site_fract_z
_atom_site_occupancy
Co1 0.283 0.000 0.011 1
Co2 0.783 0.000 0.489 1
Co3 0.217 0.500 0.511 1
Co4 0.717 0.500 0.989 1
O1 0.411 0.500 0.087 1
O2 0.911 0.500 0.413 1
O3 0.089 0.000 0.587 1
O4 0.589 0.000 0.913 1
Pd1 0.664 0.500 0.245 1
Pd2 0.164 0.500 0.255 1
Pd3 0.836 0.000 0.745 1
Pd4 0.336 0.000 0.755 1
S1 0.924 0.000 0.138 1
S2 0.424 0.000 0.362 1
S3 0.576 0.500 0.638 1
S4 0.076 0.500 0.862 1
# - Distance to the lowest polymorph of the same formula: 0.0931 eV per atom